Record 1
ThNbAl: optimized geometry, PBE-GGA.

The uncorrected energy comes out at -0.2571 hartree per atom. Its calculated density is 8.32 g cm⁻³.

It has space group R32 (No. 155, hexagonal axes), with a = 8.3639 Å, b = 8.3639 Å, c = 10.4301 Å, α = 90.00°, β = 90.00° and γ = 120.00°. The distinct sites, in fractional coordinates, are Th at (0.0000, 0.6506, 0.0000), Nb at (0.0000, 0.0000, 0.1280), Nb at (0.0000, 0.0000, 0.5000) and Al at (0.0000, 0.3356, 0.5000).

---

Record 2
PrSc2Ru: optimized geometry, PBE-GGA.

The uncorrected energy comes out at -0.2484 hartree per atom. Its calculated density is 5.84 g cm⁻³. Its relative energy among the computed polymorphs is 249 meV per atom.

It has space group R-3m (No. 166, hexagonal axes), with a = 3.3488 Å, b = 3.3488 Å, c = 29.1613 Å, α = 90.00°, β = 90.00° and γ = 120.00°. The distinct sites, in fractional coordinates, are Pr at (0.0000, 0.0000, 0.0000), Sc at (0.0000, 0.0000, 0.2298) and Ru at (0.0000, 0.0000, 0.5000).

---

Record 3
La2SnAu9: optimized geometry, PBE-GGA.

The uncorrected energy comes out at -0.1463 hartree per atom. Its calculated density is 13.59 g cm⁻³.

It has space group R-3m (No. 166, hexagonal axes), with a = 5.7828 Å, b = 5.7828 Å, c = 27.4487 Å, α = 90.00°, β = 90.00° and γ = 120.00°. The distinct sites, in fractional coordinates, are La at (0.0000, 0.0000, 0.1351), Sn at (0.0000, 0.0000, 0.0000), Au at (0.0000, 0.0000, 0.3336), Au at (0.0000, 0.0000, 0.5000) and Au at (0.0064, 0.5032, 0.9151).

---

Record 4
Pr3In2Pd7: optimized geometry, PBE-GGA.

The uncorrected energy comes out at -0.1944 hartree per atom. Its calculated density is 8.93 g cm⁻³.

It has space group I4/mmm (No. 139), with a = 4.1721 Å, b = 4.1721 Å, c = 29.8482 Å, α = 90.00°, β = 90.00° and γ = 90.00°. The distinct sites, in fractional coordinates, are Pr at (0.0000, 0.0000, 0.0000), Pr at (0.0000, 0.0000, 0.1812), In at (0.0000, 0.0000, 0.3722), Pd at (0.0000, 0.0000, 0.2800), Pd at (0.0000, 0.0000, 0.5000) and Pd at (0.0000, 0.5000, 0.0720).

---

Record 5
DyOsRu: optimized geometry, PBE-GGA.

The uncorrected energy comes out at -0.3140 hartree per atom. Its calculated density is 13.17 g cm⁻³. Its relative energy among the computed polymorphs is 118 meV per atom.

It has space group C2/m (No. 12), with a = 10.0969 Å, b = 4.4263 Å, c = 6.9643 Å, α = 90.00°, β = 132.68° and γ = 90.00°. The distinct sites, in fractional coordinates, are Dy at (0.0621, 0.0000, 0.3142), Os at (0.1566, 0.5000, 0.0814) and Ru at (0.1682, 0.5000, 0.7376).

---

Record 6
MnSi: optimized geometry, PBE-GGA.

The uncorrected energy comes out at -0.2680 hartree per atom. Its calculated density is 5.80 g cm⁻³. The uncorrected formation energy is 0.0049 eV per atom.

It has space group R-3m (No. 166, hexagonal axes), with a = 2.6976 Å, b = 2.6976 Å, c = 22.6485 Å, α = 90.00°, β = 90.00° and γ = 120.00°. The distinct sites, in fractional coordinates, are Mn at (0.0000, 0.0000, 0.1252) and Si at (0.0000, 0.0000, 0.3789).

---

Record 7
MgAl7Ni5: optimized geometry, PBE-GGA.

The uncorrected energy comes out at -0.1777 hartree per atom. Its calculated density is 4.70 g cm⁻³.

It has space group Imm2 (No. 44), with a = 5.0011 Å, b = 8.5691 Å, c = 8.3463 Å, α = 90.00°, β = 90.00° and γ = 90.00°. The distinct sites, in fractional coordinates, are Mg at (0.0000, 0.0000, 0.0000), Al at (0.0000, 0.0000, 0.3441), Al at (0.0000, 0.0000, 0.6678), Al at (0.0000, 0.2982, 0.4832), Al at (0.0000, 0.3416, 0.0104), Al at (0.0000, 0.5000, 0.7248), Ni at (0.0000, 0.5000, 0.2654) and Ni at (0.2477, 0.2616, 0.7429).

---

Record 8
NaPmHgCl6: optimized geometry, PBE-GGA.

The uncorrected energy comes out at -0.1294 hartree per atom. Its calculated density is 3.65 g cm⁻³. The uncorrected formation energy is -1.5823 eV per atom.

It has space group P-31c (No. 163), with a = 6.9299 Å, b = 6.9299 Å, c = 12.7239 Å, α = 90.00°, β = 90.00° and γ = 120.00°. The distinct sites, in fractional coordinates, are Na at (0.0000, 0.0000, 0.0000), Pm at (0.3333, 0.6667, 0.2500), Hg at (0.3333, 0.6667, 0.7500) and Cl at (0.0018, 0.3504, 0.6290).